The following is a PBE with a Hubbard U calculation of a relaxed structure of MnAu2C4N4O2, from Alexandria via LeMat-Bulk.

The density of states at the Fermi level comes out at 6.173 states/eV/f.u. For the total energy, the calculation gives -0.25067 hartree per atom.

Unit cell a=14.1715 b=14.1715 c=14.1715 alpha=168.02 beta=155.06 gamma=27.75
Element x y z (fractional)
Mn  0.0000  0.0000  0.0000
Au  0.1866  0.1866  0.0000
Au  0.8134  0.8134  0.0000
C  0.1141  0.1141  0.0000
C  0.2590  0.2590  0.0000
C  0.7410  0.7410  0.0000
C  0.8859  0.8859  0.0000
N  0.0718  0.0718  0.0000
N  0.3016  0.3016  0.0000
N  0.6984  0.6984  0.0000
N  0.9282  0.9282  0.0000
O  0.1950  0.5000  0.6950
O  0.8050  0.5000  0.3050